A relaxed NaMn2Si crystal. Source: the Alexandria database, functional PBE-GGA.

Structure (POSCAR):
```
NaMn2Si
1.0
0.000 3.036 3.036
3.036 0.000 3.036
3.036 3.036 0.000
Si Mn Na
1 2 1
Direct
0.500 0.500 0.500 Si
0.750 0.750 0.750 Mn
0.250 0.250 0.250 Mn
0.000 0.000 0.000 Na
```

Values from the calculation:
* SG: Fm-3m, No. 225
* energy relative to the elements, uncorrected: 0.38 eV per atom
* excess energy over the best structure of this formula in the dataset: 0.000 eV per atom
* crystal system: cubic

---

A relaxed La2YAlCo crystal. Source: the Alexandria database, functional PBE-GGA.

Structure (POSCAR):
```
La2YAlCo
1.0
-3.881 -1.513 3.302
-1.592 -3.635 -3.536
2.996 -3.277 2.020
Y La Al Co
1 2 1 1
Direct
0.500 0.500 0.500 Y
0.500 0.000 0.000 La
0.000 0.500 0.000 La
0.000 0.000 0.500 Al
0.000 0.000 0.000 Co
```

Values from the calculation:
* SG: P4/mmm, No. 123
* energy relative to the elements: -0.08 eV per atom
* excess energy over the best structure of this formula in the dataset: 0.047 eV per atom
* crystal system: tetragonal

---

Number 1: total moment 5.65 Bohr magnetons per cell, DOS(E_F) 2.75 states/eV per cell. Number 2: total moment 0.25 Bohr magnetons per cell, DOS(E_F) 6.75 states/eV per cell.